A) Compound: InRe2Ir
Source: the Alexandria database
Functional: PBE-GGA
Structure: optimized geometry

## Properties
Its density is 17533 kg/m³. For the density of states at the Fermi level, the calculation gives 5.04 states/eV per cell.

Cell lengths 2.792, 2.792, 8.255 Å; angles 90.00, 90.00, 90.00 degrees
Space group P4/mmm (No. 123)
One atom of each set of equivalent atoms:
In 0.000 0.000 0.000 (multiplicity 1)
Re 0.500 0.500 0.269 (multiplicity 2)
Ir 0.000 0.000 0.500 (multiplicity 1)

B) Compound: InRe2Ir
Source: the Alexandria database
Functional: PBE-GGA
Structure: optimized geometry

## Properties
Its density is 17567 kg/m³. For the density of states at the Fermi level, the calculation gives 10.92 states/eV per cell.

Cell lengths 5.347, 8.505, 2.824 Å; angles 90.00, 90.00, 90.00 degrees
Space group Cmmm (No. 65)
One atom of each set of equivalent atoms:
In 0.000 0.000 0.000 (multiplicity 2)
Re 0.250 0.250 0.500 (multiplicity 4)
Ir 0.000 0.500 0.000 (multiplicity 2)

Most stable pick: A). Distance to second place: 0.119 eV/atom.

A) Compound: InReIr2
Source: the Alexandria database
Functional: PBE-GGA
Structure: optimized geometry

## Properties
Its density is 17881 kg/m³. For the density of states at the Fermi level, the calculation gives 2.35 states/eV per cell.

Cell lengths 2.847, 2.847, 7.855 Å; angles 90.00, 90.00, 90.00 degrees
Space group P4/mmm (No. 123)
One atom of each set of equivalent atoms:
In 0.000 0.000 0.000 (multiplicity 1)
Re 0.000 0.000 0.500 (multiplicity 1)
Ir 0.500 0.500 0.271 (multiplicity 2)

B) Compound: InReIr2
Source: the Alexandria database
Functional: PBE-GGA
Structure: optimized geometry

## Properties
Its density is 17907 kg/m³. For the density of states at the Fermi level, the calculation gives 6.76 states/eV per cell.

Cell lengths 4.045, 4.045, 7.769 Å; angles 90.00, 90.00, 90.00 degrees
Space group I4/mmm (No. 139)
One atom of each set of equivalent atoms:
In 0.000 0.000 0.000 (multiplicity 2)
Re 0.000 0.000 0.500 (multiplicity 2)
Ir 0.000 0.500 0.250 (multiplicity 4)

Most stable pick: A). Distance to second place: 0.300 eV/atom.

A) Compound: InReIr2
Source: the Alexandria database
Functional: PBE-GGA
Structure: optimized geometry

## Properties
Its density is 17544 kg/m³. For the density of states at the Fermi level, the calculation gives 26.40 states/eV per cell.

Cell lengths 6.379, 6.379, 6.379 Å; angles 90.00, 90.00, 90.00 degrees
Space group Fm-3m (No. 225)
One atom of each set of equivalent atoms:
In 0.000 0.000 0.000 (multiplicity 4)
Re 0.000 0.000 0.500 (multiplicity 4)
Ir 0.250 0.250 0.250 (multiplicity 8)

B) Compound: InReIr2
Source: the Alexandria database
Functional: PBE-GGA
Structure: optimized geometry

## Properties
Its density is 17835 kg/m³. For the density of states at the Fermi level, the calculation gives 6.22 states/eV per cell.

Cell lengths 9.308, 2.848, 4.886 Å; angles 90.00, 99.79, 90.00 degrees
Space group Cm (No. 8)
One atom of each set of equivalent atoms:
In 0.000 0.000 0.000 (multiplicity 2)
Re 0.238 0.000 0.685 (multiplicity 2)
Ir 0.000 0.500 0.507 (multiplicity 2)
Ir 0.254 0.500 0.217 (multiplicity 2)

Most stable pick: B). Distance to second place: 0.366 eV/atom.

A) Compound: InReIr2
Source: the Alexandria database
Functional: PBE-GGA
Structure: optimized geometry

## Properties
Its density is 17733 kg/m³. For the density of states at the Fermi level, the calculation gives 4.46 states/eV per cell.

Cell lengths 4.090, 4.090, 3.838 Å; angles 90.00, 90.00, 90.00 degrees
Space group P4/mmm (No. 123)
One atom of each set of equivalent atoms:
In 0.000 0.000 0.000 (multiplicity 1)
Re 0.500 0.500 0.000 (multiplicity 1)
Ir 0.000 0.500 0.500 (multiplicity 2)

B) Compound: InReIr2
Source: the Alexandria database
Functional: PBE-GGA
Structure: optimized geometry

## Properties
Its density is 17786 kg/m³. For the density of states at the Fermi level, the calculation gives 12.14 states/eV per cell.

Cell lengths 2.8528, 2.8528, 27.2394 Å; angles 90.00, 90.00, 120.00 degrees
Space group R3m (No. 160, hexagonal axes)
One atom of each set of equivalent atoms:
In 0.0000 0.0000 0.0000 (multiplicity 3)
Re 0.0000 0.0000 0.7564 (multiplicity 3)
Ir 0.0000 0.0000 0.2488 (multiplicity 3)
Ir 0.0000 0.0000 0.4992 (multiplicity 3)

Most stable pick: B). Distance to second place: 0.129 eV/atom.

A) Compound: InRe2Ir2
Source: the Alexandria database
Functional: PBE-GGA
Structure: optimized geometry

## Properties
Its density is 17317 kg/m³. For the density of states at the Fermi level, the calculation gives 5.74 states/eV per cell.

Cell lengths 7.770, 7.770, 2.769 Å; angles 90.00, 90.00, 90.00 degrees
Space group P4/mbm (No. 127)
One atom of each set of equivalent atoms:
In 0.000 0.000 0.000 (multiplicity 2)
Re 0.122 0.378 0.000 (multiplicity 4)
Ir 0.166 0.666 0.500 (multiplicity 4)

B) Compound: InRe2Ir2
Source: the Alexandria database
Functional: PBE-GGA
Structure: optimized geometry

## Properties
Its density is 17496 kg/m³. For the density of states at the Fermi level, the calculation gives 7.88 states/eV per cell.

Cell lengths 7.730, 7.730, 2.769 Å; angles 90.00, 90.00, 90.00 degrees
Space group P4/mbm (No. 127)
One atom of each set of equivalent atoms:
In 0.000 0.000 0.000 (multiplicity 2)
Re 0.171 0.329 0.500 (multiplicity 4)
Ir 0.123 0.623 0.000 (multiplicity 4)

Most stable pick: A). Distance to second place: 0.025 eV/atom.

A) Compound: InIrRh
Source: the Alexandria database
Functional: PBE-GGA
Structure: optimized geometry

## Properties
Its density is 13951 kg/m³. For the density of states at the Fermi level, the calculation gives 10.85 states/eV per cell.

Cell lengths 2.882, 3.928, 8.620 Å; angles 90.00, 90.00, 90.00 degrees
Space group Imm2 (No. 44)
One atom of each set of equivalent atoms:
In 0.000 0.000 0.000 (multiplicity 2)
Ir 0.000 0.000 0.329 (multiplicity 2)
Rh 0.000 0.000 0.671 (multiplicity 2)

B) Compound: InIrRh
Source: the Alexandria database
Functional: PBE-GGA
Structure: optimized geometry

## Properties
Its density is 13986 kg/m³. For the density of states at the Fermi level, the calculation gives 7.39 states/eV per cell.

Cell lengths 2.906, 2.906, 11.528 Å; angles 90.00, 90.00, 90.00 degrees
Space group I4mm (No. 107)
One atom of each set of equivalent atoms:
In 0.000 0.000 0.000 (multiplicity 2)
Ir 0.000 0.000 0.674 (multiplicity 2)
Rh 0.000 0.000 0.328 (multiplicity 2)

Most stable pick: B). Distance to second place: 0.070 eV/atom.